Entry 1:
First-principles (PBE) data for crystalline PuZr3 at its relaxed geometry, as listed in OQMD.

energy above the lowest structure with this stoichiometry: 0.000 eV per atom
DFT formation energy: 0.280 eV/atom
magnetization: 0.0134 μB per atom

Cell: 6.1308 6.7529 4.7228 Å, 90.00 90.00 117.00°
With the nearest neighbours (Å) after each atom.
Atoms (fractional coordinates):
Pu (0.9464, 0.3928, 0.0000)  2 Pu 2.47
Pu (0.8869, 0.2739, 0.5000)  2 Pu 2.47
Zr (0.4877, 0.9662, 0.0000)  6 Zr 2.85-3.12, 1 Pu 2.98
Zr (0.3456, 0.7004, 0.5000)  6 Zr 2.85-3.12, 1 Pu 2.97
Zr (0.9784, 0.9663, 0.0000)  6 Zr 2.85-3.12, 1 Pu 2.97
Zr (0.8549, 0.7004, 0.5000)  6 Zr 2.85-3.12, 1 Pu 2.97
Zr (0.4916, 0.4831, 0.0000)  8 Zr 2.97-3.27, 2 Pu 3.11
Zr (0.3418, 0.1835, 0.5000)  8 Zr 2.97-3.27, 2 Pu 3.11

Entry 2:
First-principles (PBE) data for crystalline PuZr2 at its relaxed geometry, as listed in OQMD.

DFT formation energy: -0.003 eV/atom
magnetization: 1.7024 μB per atom

Cell: 5.6566 9.4831 5.3230 Å, 90.00 90.00 90.00°
With the nearest neighbours (Å) after each atom.
Atoms (fractional coordinates):
Pu (0.3209, 0.0000, 0.5000)  10 Zr 3.13-3.31, 2 Pu 3.18
Pu (0.8209, 0.5000, 0.5000)  10 Zr 3.13-3.31, 2 Pu 3.18
Pu (0.5125, 0.5000, 0.0000)  10 Zr 3.13-3.31, 2 Pu 3.18
Pu (0.0124, 0.0000, 0.0000)  10 Zr 3.13-3.31, 2 Pu 3.18
Zr (0.3122, 0.3298, 0.5000)  5 Pu 3.13-3.31, 7 Zr 3.13-3.28
Zr (0.5211, 0.1702, 0.0000)  5 Pu 3.13-3.31, 7 Zr 3.13-3.28
Zr (0.8122, 0.1702, 0.5000)  5 Pu 3.13-3.31, 7 Zr 3.13-3.28
Zr (0.8122, 0.8298, 0.5000)  5 Pu 3.13-3.31, 7 Zr 3.13-3.28
Zr (0.0212, 0.6702, 0.0000)  5 Pu 3.13-3.31, 7 Zr 3.13-3.28
Zr (0.3122, 0.6702, 0.5000)  5 Pu 3.13-3.31, 7 Zr 3.13-3.28
Zr (0.0212, 0.3298, 0.0000)  5 Pu 3.13-3.31, 7 Zr 3.13-3.28
Zr (0.5211, 0.8298, 0.0000)  5 Pu 3.13-3.31, 7 Zr 3.13-3.28

Entry 3:
First-principles (PBE) data for crystalline PuZr3 at its relaxed geometry, as listed in OQMD.

energy above the lowest structure with this stoichiometry: 0.305 eV per atom
DFT formation energy: 0.585 eV/atom
magnetization: 0.1262 μB per atom

Cell: 6.4410 6.4410 5.2831 Å, 90.00 90.00 120.00°
With the nearest neighbours (Å) after each atom.
Atoms (fractional coordinates):
Zr (0.5021, 0.4979, 0.0000)  8 Zr 3.18-3.26, 4 Pu 3.22-3.24
Zr (0.8313, 0.1687, 0.5000)  8 Zr 3.18-3.26, 4 Pu 3.22-3.24
Zr (0.9958, 0.4979, 0.0000)  8 Zr 3.18-3.26, 4 Pu 3.22-3.24
Zr (0.5021, 0.0042, 0.0000)  8 Zr 3.18-3.26, 4 Pu 3.22-3.24
Zr (0.3375, 0.1687, 0.5000)  8 Zr 3.18-3.26, 4 Pu 3.22-3.24
Zr (0.8312, 0.6625, 0.5000)  8 Zr 3.18-3.26, 4 Pu 3.22-3.24
Pu (0.3333, 0.6666, 0.5000)  12 Zr 3.22-3.24
Pu (0.0000, 0.0000, 0.0000)  12 Zr 3.22-3.24

Entry 4:
First-principles (PBE) data for crystalline RbRe8 at its relaxed geometry, as listed in OQMD.

total DFT energy (no corrections): -10.41 eV per atom
magnetization: 0.0000 μB per atom

Cell: 8.5029 8.5029 8.4433 Å, 90.01 90.01 144.85°
With the nearest neighbours (Å) after each atom.
Atoms (fractional coordinates):
Re (0.0953, 0.6619, 0.6137)  6 Re 2.46-2.72
Re (0.3909, 0.3258, 0.6161)  6 Re 2.42-2.69
Re (0.2035, 0.0732, 0.8905)  5 Re 2.46-2.72
Re (0.3258, 0.3909, 0.1161)  6 Re 2.42-2.69
Re (0.3381, 0.9047, 0.8863)  6 Re 2.46-2.72
Re (0.9047, 0.3381, 0.3863)  6 Re 2.46-2.72
Re (0.4533, 0.8168, 0.3920)  3 Re 2.42-2.70
Re (0.9268, 0.7965, 0.6095)  5 Re 2.46-2.72
Re (0.1832, 0.5467, 0.1080)  3 Re 2.42-2.70
Re (0.6091, 0.6742, 0.3839)  6 Re 2.42-2.69
Re (0.8168, 0.4533, 0.8920)  3 Re 2.42-2.70
Re (0.6619, 0.0953, 0.1137)  6 Re 2.46-2.72
Re (0.6742, 0.6091, 0.8839)  6 Re 2.42-2.69
Re (0.7965, 0.9268, 0.1095)  5 Re 2.46-2.72
Re (0.0732, 0.2035, 0.3905)  5 Re 2.46-2.72
Re (0.5467, 0.1832, 0.6080)  3 Re 2.42-2.70
Rb (0.1270, 0.8730, 0.2500)  14 Re 3.28-3.66
Rb (0.8730, 0.1270, 0.7500)  14 Re 3.28-3.66